The following is a PBE calculation of crystalline K2USbS5 at its relaxed geometry, from Alexandria via LeMat-Bulk.

Cell lengths 9.007, 9.007, 14.585 Å; angles 90.00, 90.00, 153.02 degrees
Atoms (fractional coordinates):
K  0.092  0.908  0.500
K  0.141  0.859  0.147
K  0.859  0.141  0.647
K  0.908  0.092  0.000
U  0.218  0.782  0.873
U  0.782  0.218  0.373
Sb  0.461  0.539  0.279
Sb  0.539  0.461  0.779
S  0.072  0.928  0.899
S  0.271  0.729  0.486
S  0.314  0.686  0.255
S  0.356  0.644  0.831
S  0.500  0.500  0.122
S  0.500  0.500  0.622
S  0.644  0.356  0.331
S  0.686  0.314  0.755
S  0.729  0.271  0.986
S  0.928  0.072  0.399

Output
The space-group type is Cmc2_1 (36). The energy is -5.25 eV/atom.